Arrangement P

Density functional theory data (PBE-GGA) for a geometry-optimized LaRhIO2 structure.

Properties
- magnetic moment (μB per atom) = 0.387

```
5
Lattice="4.2716 0.0000 0.0000 0.0000 4.2716 0.0000 0.0000 0.0000 7.1561" Properties=species:S:1:pos:R:3 pbc="T T T"
La 0.0000 0.0000 0.0000
Rh 2.1358 2.1358 3.5780
I 0.0000 0.0000 3.5780
O 0.0000 2.1358 0.0000
O 2.1358 0.0000 0.0000
```

=====

Arrangement Q

Density functional theory data (PBE-GGA) for a geometry-optimized LaRhIO2 structure.

Properties
- magnetic moment (μB per atom) = 0.045

```
5
Lattice="4.3796 0.0000 0.0000 0.0000 4.3796 0.0000 0.0000 0.0000 4.9302" Properties=species:S:1:pos:R:3 pbc="T T T"
La 0.0000 0.0000 0.0000
Rh 2.1898 2.1898 2.4651
I 2.1898 2.1898 0.0000
O 0.0000 2.1898 2.4651
O 2.1898 0.0000 2.4651
```

=====

Q: Which of them is the most stable? A: arrangement P.

=====

Arrangement P

Density functional theory data (PBE-GGA) for a geometry-optimized LaSiIO2 structure.

Properties
- magnetic moment (μB per atom) = 0.112

```
5
Lattice="4.3916 0.0000 0.0000 0.0000 4.3916 0.0000 0.0000 0.0000 7.1283" Properties=species:S:1:pos:R:3 pbc="T T T"
La 0.0000 0.0000 0.0000
Si 2.1958 2.1958 3.5642
I 0.0000 0.0000 3.5642
O 0.0000 2.1958 0.0000
O 2.1958 0.0000 0.0000
```

=====

Arrangement Q

Density functional theory data (PBE-GGA) for a geometry-optimized LaSiIO2 structure.

Properties
- magnetic moment (μB per atom) = 0.000

```
5
Lattice="4.2303 0.0000 0.0000 0.0000 4.2303 0.0000 0.0000 0.0000 5.1988" Properties=species:S:1:pos:R:3 pbc="T T T"
La 0.0000 0.0000 0.0000
Si 2.1152 2.1152 2.5994
I 2.1152 2.1152 0.0000
O 0.0000 2.1152 2.5994
O 2.1152 0.0000 2.5994
```

=====

Q: Which of them is the most stable? A: arrangement P.

=====

Arrangement P

Density functional theory data (PBE-GGA) for a geometry-optimized LaSnIO2 structure.

Properties
- magnetic moment (μB per atom) = 0.000

```
5
Lattice="4.3921 0.0000 0.0000 0.0000 4.3921 0.0000 0.0000 0.0000 5.8737" Properties=species:S:1:pos:R:3 pbc="T T T"
La 0.0000 0.0000 0.0000
Sn 2.1960 2.1960 2.9369
I 2.1960 2.1960 0.0000
O 0.0000 2.1960 2.9369
O 2.1960 0.0000 2.9369
```

=====

Arrangement Q

Density functional theory data (PBE-GGA) for a geometry-optimized LaSnIO2 structure.

Properties
- magnetic moment (μB per atom) = 0.000

```
5
Lattice="4.5864 0.0000 0.0000 0.0000 4.5864 0.0000 0.0000 0.0000 6.4812" Properties=species:S:1:pos:R:3 pbc="T T T"
La 0.0000 0.0000 0.0000
Sn 2.2932 2.2932 3.2406
I 0.0000 0.0000 3.2406
O 0.0000 2.2932 0.0000
O 2.2932 0.0000 0.0000
```

=====

Q: Which of them is the most stable? A: arrangement Q.